Computed, not measured: crystalline CePaCu10 at its relaxed geometry at the GGA-PBE level of DFT.

abc: 4.1081 5.0741 8.7563
angles: 90.00 90.00 90.00
Space group Pmmm (No. 47)
Asymmetric unit:
Ce 0.0000 0.0000 0.0000 (multiplicity 1)
Pa 0.0000 0.5000 0.5000 (multiplicity 1)
Cu 0.0000 0.0000 0.3355 (multiplicity 2)
Cu 0.0000 0.5000 0.1691 (multiplicity 2)
Cu 0.5000 0.0000 0.5000 (multiplicity 1)
Cu 0.5000 0.2542 0.2560 (multiplicity 4)
Cu 0.5000 0.5000 0.0000 (multiplicity 1)

Output
ρ   9.16 g/cm3
Crystal system   orthorhombic
Total energy   -56.93 eV/cell
DFT formation energy   -0.045 eV per atom